1.
GGA-PBE Y3TeC, optimized geometry; V = 118.2 Å³ per cell; electronic total energy = -6.8942 eV per atom; size of the total moment = 0.00 Bohr magnetons per cell
1.0
-4.802 -0.042 -1.011
-0.120 -4.846 0.771
-1.005 0.779 4.740
Te Y C
1 3 1
Cartesian
-2.964 -2.055 2.250
-0.060 -2.423 0.385
-2.401 -0.021 -0.506
-0.503 0.389 2.370
0.000 0.000 0.000

---

2.
GGA-PBE Y6TeC2, optimized geometry; V = 464.1 Å³ per cell; electronic total energy = -6.9774 eV per atom; size of the total moment = 0.00 Bohr magnetons per cell
1.0
-2.619 -4.534 -4.378
7.516 -3.133 -3.036
2.751 -7.196 4.022
Y C Te
12 4 2
Cartesian
-0.923 -6.524 -2.191
8.570 -8.339 -1.201
2.356 -11.583 -0.520
2.544 -5.746 -1.200
5.291 -3.280 -2.872
1.530 -7.762 -3.826
0.539 -8.482 0.038
5.103 -9.116 -2.193
7.108 -6.381 -3.430
2.039 -2.848 -2.450
5.608 -12.015 -0.943
6.118 -7.101 0.433
1.851 -3.645 0.155
6.347 -9.597 -0.235
5.796 -11.217 -3.548
1.300 -5.266 -3.157
4.693 -7.266 -5.047
2.955 -7.597 1.655

---

3.
GGA-PBE YTe2C, optimized geometry; V = 99.1 Å³ per cell; electronic total energy = -4.5293 eV per atom; size of the total moment = 0.00 Bohr magnetons per cell
1.0
2.053 0.000 9.048
-1.027 1.778 9.048
-1.027 -1.778 9.048
Y Te C
1 2 1
Cartesian
0.000 0.000 0.000
0.000 0.000 3.032
0.000 0.000 24.111
0.000 0.000 13.572

---

4.
GGA-PBE Y2TeC, optimized geometry; V = 87.7 Å³ per cell; electronic total energy = -6.1942 eV per atom; size of the total moment = 0.00 Bohr magnetons per cell
1.0
3.770 -1.929 2.635
-0.598 -4.326 2.409
2.334 -4.099 -1.620
Y Te C
2 1 1
Cartesian
1.376 -2.589 0.856
4.129 -7.766 2.568
2.753 -5.177 1.712
0.000 0.000 0.000

---

5.
GGA-PBE YTe3C, optimized geometry; V = 201.5 Å³ per cell; electronic total energy = -3.7756 eV per atom; size of the total moment = 0.55 Bohr magnetons per cell
1.0
-4.568 2.969 -2.164
-3.595 -2.900 3.611
0.758 4.141 4.080
Te Y C
3 1 1
Cartesian
-1.797 -1.450 1.805
-2.284 1.484 -1.082
0.379 2.070 2.040
0.000 0.000 0.000
-3.703 2.105 2.763

---

6.
GGA-PBE YTeC3, optimized geometry; V = 73.5 Å³ per cell; electronic total energy = -5.5685 eV per atom; size of the total moment = 0.00 Bohr magnetons per cell
1.0
4.190 0.000 0.000
0.000 4.190 0.000
0.000 0.000 4.190
C Y Te
3 1 1
Cartesian
0.000 2.095 0.000
0.000 0.000 2.095
2.095 0.000 0.000
2.095 2.095 2.095
0.000 0.000 0.000

---

What did the second record say?
GGA-PBE Y6TeC2, optimized geometry; V = 464.1 Å³ per cell; electronic total energy = -6.9774 eV per atom; size of the total moment = 0.00 Bohr magnetons per cell
1.0
-2.619 -4.534 -4.378
7.516 -3.133 -3.036
2.751 -7.196 4.022
Y C Te
12 4 2
Cartesian
-0.923 -6.524 -2.191
8.570 -8.339 -1.201
2.356 -11.583 -0.520
2.544 -5.746 -1.200
5.291 -3.280 -2.872
1.530 -7.762 -3.826
0.539 -8.482 0.038
5.103 -9.116 -2.193
7.108 -6.381 -3.430
2.039 -2.848 -2.450
5.608 -12.015 -0.943
6.118 -7.101 0.433
1.851 -3.645 0.155
6.347 -9.597 -0.235
5.796 -11.217 -3.548
1.300 -5.266 -3.157
4.693 -7.266 -5.047
2.955 -7.597 1.655